The following is a DFT calculation (PBE) of a geometry-optimized OsRh2Au structure.

POSCAR file:
```
OsRh2Au
1.0
2.744 0.000 0.000
0.000 4.696 0.000
0.000 0.000 4.782
Os Rh Au
1 2 1
Cartesian
0.000 0.000 0.000
0.000 2.348 2.391
1.372 2.348 0.000
1.372 0.000 2.391
```

Summary:
ΔE to the lowest computed polymorph (meV per atom): 461
Symmetry: No. 47
Formation enthalpy at 0 K (eV/atom): 0.527
Uncorrected energy (eV/atom): -6.78